Computed, not measured: an optimized crystal structure of Ce2InSb at the PBE-GGA level of DFT.

Cell and atoms, written as POSCAR:
```
Ce2InSb
1.0
4.4442 0.0000 0.0000
0.0000 4.9930 0.0000
0.0000 0.0000 4.9930
Sb Ce In
1 2 1
Cartesian
2.2221 0.0000 0.0000
0.0000 0.0000 2.4965
0.0000 2.4965 0.0000
2.2221 2.4965 2.4965
```

As for the raw formation energy: -0.58 eV per atom. The calculation puts the calculated total energy at -21.06 eV for the cell shown. As for the offset from the most stable computed form: 24 meV per atom.